Entry 1:
{"formula": "K3UV2O8", "functional": "GGA+U", "state": "optimized geometry", "spacegroup": "P-3m1, No. 164", "total_energy_ev_per_atom": -7.17, "lattice_angstrom": [[6.0059, 0.0000, 0.0000], [-3.0030, 5.2013, 0.0000], [0.0000, 0.0000, 7.7178]], "species": ["O", "U", "O", "O", "V", "K", "O", "V", "O", "O", "O", "O", "K", "K"], "fractional_positions": [[0.3374, 0.1687, 0.6650], [0.0000, 0.0000, 0.5000], [0.3333, 0.6667, 0.0215], [0.1687, 0.3374, 0.3350], [0.3333, 0.6667, 0.2408], [0.3333, 0.6667, 0.6888], [0.6667, 0.3333, 0.9785], [0.6667, 0.3333, 0.7592], [0.8313, 0.6626, 0.6650], [0.1687, 0.8313, 0.3350], [0.8313, 0.1687, 0.6650], [0.6626, 0.8313, 0.3350], [0.0000, 0.0000, 0.0000], [0.6667, 0.3333, 0.3112]]}

---

Entry 2:
{"formula": "KUVO6", "functional": "GGA+U", "state": "optimized geometry", "spacegroup": "P2_1/c, No. 14", "total_energy_ev_per_atom": -8.04, "lattice_angstrom": [[8.4373, 0.0000, 0.0000], [0.0000, 6.9069, -0.2890], [0.0000, 2.3117, 10.3577]], "species": ["K", "O", "O", "O", "O", "V", "O", "O", "O", "O", "O", "O", "O", "O", "O", "V", "K", "U", "O", "O", "O", "V", "O", "U", "V", "U", "O", "K", "K", "O", "O", "O", "O", "O", "U", "O"], "fractional_positions": [[0.7087, 0.4751, 0.8317], [0.6287, 0.6496, 0.0483], [0.6543, 0.9595, 0.4937], [0.0669, 0.7270, 0.8569], [0.9400, 0.0333, 0.3945], [0.6463, 0.8858, 0.0506], [0.2113, 0.0878, 0.2863], [0.5600, 0.0333, 0.8945], [0.1287, 0.3504, 0.4517], [0.4331, 0.7270, 0.3569], [0.8713, 0.6496, 0.5483], [0.4400, 0.9667, 0.1055], [0.2887, 0.0878, 0.7863], [0.5302, 0.2525, 0.2798], [0.0600, 0.9667, 0.6055], [0.3537, 0.1142, 0.9494], [0.2913, 0.5249, 0.1683], [0.9814, 0.0104, 0.1799], [0.3713, 0.3504, 0.9517], [0.9331, 0.2730, 0.1431], [0.7113, 0.9122, 0.2137], [0.1463, 0.1142, 0.4494], [0.0302, 0.7475, 0.2202], [0.5186, 0.0104, 0.6799], [0.8537, 0.8858, 0.5506], [0.0186, 0.9896, 0.8201], [0.8457, 0.9595, 0.9937], [0.2087, 0.5249, 0.6683], [0.7913, 0.4751, 0.3317], [0.7887, 0.9122, 0.7137], [0.9698, 0.2525, 0.7798], [0.1543, 0.0405, 0.0063], [0.4698, 0.7475, 0.7202], [0.3457, 0.0405, 0.5063], [0.4814, 0.9896, 0.3201], [0.5669, 0.2730, 0.6431]]}

---

Entry 3:
{"formula": "KU2VO8", "functional": "GGA+U", "state": "optimized geometry", "spacegroup": "P-1, No. 2", "total_energy_ev_per_atom": -8.55, "lattice_angstrom": [[5.0003, 0.1456, 0.0564], [0.1996, 4.9923, 0.0546], [0.0910, 0.0940, 7.0494]], "species": ["O", "O", "K", "O", "O", "O", "O", "O", "U", "V", "O", "U"], "fractional_positions": [[0.7853, 0.2059, 0.2032], [0.6888, 0.6900, 0.0080], [0.0000, 0.0000, 0.5000], [0.3112, 0.3100, 0.9920], [0.6615, 0.6635, 0.5168], [0.3385, 0.3365, 0.4832], [0.2147, 0.7941, 0.7968], [0.2050, 0.7842, 0.2032], [0.5061, 0.5061, 0.2439], [0.0000, 0.0000, 0.0000], [0.7950, 0.2158, 0.7968], [0.4939, 0.4939, 0.7561]]}

---

Entry 4:
{"formula": "KUVO6", "functional": "GGA+U", "state": "optimized geometry", "spacegroup": "C2, No. 5", "total_energy_ev_per_atom": -7.98, "lattice_angstrom": [[-1.7544, 3.9524, 4.3446], [-0.5337, -0.7978, 6.0543], [5.3604, 2.1632, 0.5232]], "species": ["O", "O", "O", "O", "O", "U", "K", "O", "V"], "fractional_positions": [[0.0761, 0.5767, 0.7451], [0.5766, 0.0761, 0.2549], [0.3651, 0.6448, 0.3312], [0.4339, 0.9439, 0.6587], [0.9439, 0.4339, 0.3413], [0.3277, 0.3278, 0.5000], [0.0206, 0.0206, 0.0000], [0.6448, 0.3651, 0.6687], [0.6111, 0.6112, 0.5000]]}

---

Entry 5:
{"formula": "K2UW2O10", "functional": "GGA+U", "state": "optimized geometry", "spacegroup": "Pnma, No. 62", "total_energy_ev_per_atom": -7.53, "lattice_angstrom": [[7.6982, 0.0000, 0.0000], [0.0000, 8.7814, 0.0000], [0.0000, 0.0000, 14.3588]], "species": ["O", "O", "K", "W", "O", "O", "W", "W", "O", "O", "W", "O", "O", "O", "O", "O", "K", "O", "O", "O", "K", "O", "O", "W", "O", "K", "O", "W", "O", "U", "O", "O", "O", "O", "K", "K", "O", "W", "O", "O", "O", "W", "O", "O", "O", "U", "O", "U", "O", "K", "K", "U", "O", "O", "O", "O", "O", "O", "O", "O"], "fractional_positions": [[0.9726, 0.6471, 0.4842], [0.7500, 0.9873, 0.1292], [0.7500, 0.8242, 0.7156], [0.5012, 0.3539, 0.0688], [0.7500, 0.4424, 0.3774], [0.9724, 0.3102, 0.1894], [0.5012, 0.1461, 0.5688], [0.4988, 0.8539, 0.4312], [0.0276, 0.8102, 0.3106], [0.7500, 0.6335, 0.9228], [0.4988, 0.6461, 0.9312], [0.4726, 0.1471, 0.0158], [0.7500, 0.0576, 0.8774], [0.9724, 0.1898, 0.6894], [0.7500, 0.5127, 0.6292], [0.0313, 0.0680, 0.4239], [0.2500, 0.1758, 0.2844], [0.2500, 0.3665, 0.0772], [0.4724, 0.6898, 0.8106], [0.9726, 0.8529, 0.9842], [0.2500, 0.8447, 0.7000], [0.4687, 0.0680, 0.4239], [0.7500, 0.8665, 0.4228], [0.0012, 0.8539, 0.4312], [0.0313, 0.4320, 0.9239], [0.2500, 0.3242, 0.7844], [0.2500, 0.4873, 0.3708], [0.0012, 0.6461, 0.9312], [0.5313, 0.5680, 0.0761], [0.2500, 0.5250, 0.4966], [0.9687, 0.9320, 0.5761], [0.0276, 0.6898, 0.8106], [0.2500, 0.5576, 0.6226], [0.4726, 0.3529, 0.5158], [0.7500, 0.1553, 0.3000], [0.7500, 0.6758, 0.2156], [0.0274, 0.1471, 0.0158], [0.9988, 0.1461, 0.5688], [0.9687, 0.5680, 0.0761], [0.2500, 0.0127, 0.8708], [0.5276, 0.3102, 0.1894], [0.9988, 0.3539, 0.0688], [0.2500, 0.8103, 0.4649], [0.5313, 0.9320, 0.5761], [0.7500, 0.3103, 0.0351], [0.7500, 0.0250, 0.0034], [0.2500, 0.9424, 0.1226], [0.7500, 0.4750, 0.5034], [0.5274, 0.6471, 0.4842], [0.2500, 0.6553, 0.2000], [0.7500, 0.3447, 0.8000], [0.2500, 0.9750, 0.9966], [0.4687, 0.4320, 0.9239], [0.0274, 0.3529, 0.5158], [0.5274, 0.8529, 0.9842], [0.5276, 0.1898, 0.6894], [0.7500, 0.1897, 0.5351], [0.4724, 0.8102, 0.3106], [0.2500, 0.6897, 0.9649], [0.2500, 0.1335, 0.5772]]}

---

Entry 6:
{"formula": "K2UW3O12", "functional": "GGA+U", "state": "optimized geometry", "spacegroup": "R-3m, No. 166", "total_energy_ev_per_atom": -7.53, "lattice_angstrom": [[-3.6136, -3.4750, 5.7378], [1.5536, -7.2131, 1.9009], [3.5800, -1.7244, 6.5013]], "species": ["O", "O", "K", "O", "W", "W", "O", "O", "O", "O", "W", "O", "U", "O", "K", "O", "O", "O"], "fractional_positions": [[0.3052, 0.9340, 0.3052], [0.6948, 0.6948, 0.0660], [0.3470, 0.3470, 0.3470], [0.9274, 0.9274, 0.3335], [0.0000, 0.5000, 0.0000], [0.5000, 0.0000, 0.0000], [0.6665, 0.0726, 0.0726], [0.0660, 0.6948, 0.6948], [0.0726, 0.6665, 0.0726], [0.0726, 0.0726, 0.6665], [0.0000, 0.0000, 0.5000], [0.9274, 0.3335, 0.9274], [0.0000, 0.0000, 0.0000], [0.9340, 0.3052, 0.3052], [0.6530, 0.6530, 0.6530], [0.3052, 0.3052, 0.9340], [0.6948, 0.0660, 0.6948], [0.3335, 0.9274, 0.9274]]}

---

Entry 7:
{"formula": "K2UWO6", "functional": "GGA+U", "state": "optimized geometry", "spacegroup": "I4/mmm, No. 139", "total_energy_ev_per_atom": -7.53, "lattice_angstrom": [[5.9353, -0.0131, 0.0003], [-0.0131, 5.9354, -0.0003], [2.9609, 2.9616, 4.1876]], "species": ["O", "O", "U", "K", "O", "K", "O", "W", "O", "O"], "fractional_positions": [[0.7535, 0.7534, 0.4930], [0.2465, 0.2466, 0.5070], [0.5000, 0.5000, 0.0000], [0.2501, 0.7499, 0.4999], [0.7694, 0.2305, 0.0001], [0.7499, 0.2501, 0.5001], [0.7535, 0.7535, 0.0000], [0.0000, 0.0000, 0.0000], [0.2465, 0.2465, 0.0000], [0.2306, 0.7695, 0.9999]]}